No. 1
# TeAsBr

A relaxed structure of TeAsBr (PBE-GGA, Alexandria via LeMat-Bulk).

DOS at the Fermi energy = 0.869 states/eV/atom
Space-group type = No. 107
E_form (uncorrected) = 0.526 eV/f.u.
Calculated total energy = -2.98 eV/atom

```
TeAsBr
1.0
-1.837 1.837 5.923
1.837 -1.837 5.923
1.837 1.837 -5.923
Te As Br
1 1 1
direct
0.000 0.000 0.000
0.610 0.610 0.000
0.291 0.291 0.000
```

No. 2
# Li4TaAu

A relaxed structure of Li4TaAu (PBE-GGA, Alexandria via LeMat-Bulk).

DOS at the Fermi energy = 0.529 states/eV/atom
Space-group type = No. 216
E_form = 0.267 eV/atom
Calculated total energy = -3.53 eV/atom

```
Li4TaAu
1.0
0.000 3.503 3.503
3.503 0.000 3.503
3.503 3.503 0.000
Li Ta Au
4 1 1
direct
0.376 0.376 0.376
0.376 0.376 0.871
0.376 0.871 0.376
0.871 0.376 0.376
0.000 0.000 0.000
0.750 0.750 0.750
```

No. 3
# MgMnTe2

A relaxed structure of MgMnTe2 (PBE-GGA, Alexandria via LeMat-Bulk).

DOS at the Fermi energy = 0.110 states/eV/atom
Space-group type = No. 166
E_form (uncorrected) = -1.674 eV/f.u.
Calculated total energy = -4.68 eV/atom

```
MgMnTe2
1.0
2.087 1.205 6.831
-2.087 1.205 6.831
0.000 -2.410 6.831
Mg Mn Te
1 1 2
direct
0.000 0.000 0.000
0.500 0.500 0.500
0.247 0.247 0.247
0.753 0.753 0.753
```

No. 4
# Li3Hg2Pd3

A relaxed structure of Li3Hg2Pd3 (PBE-GGA, Alexandria via LeMat-Bulk).

DOS at the Fermi energy = 0.133 states/eV/atom
Energy above the most stable polymorph in this dataset = 0.00 kJ/mol of atoms
Space-group type = No. 47
E_form = -0.412 eV/atom
Calculated total energy = -3.15 eV/atom

```
Li3Hg2Pd3
1.0
4.036 0.000 0.000
0.000 4.077 0.000
0.000 0.000 7.829
Li Hg Pd
3 2 3
direct
0.000 0.000 0.000
0.000 0.500 0.270
0.000 0.500 0.730
0.500 0.000 0.247
0.500 0.000 0.753
0.000 0.000 0.500
0.500 0.500 0.000
0.500 0.500 0.500
```

No. 5
# Te5Rh

A relaxed structure of Te5Rh (PBE-GGA, Alexandria via LeMat-Bulk).

DOS at the Fermi energy = 1.332 states/eV/atom
Energy above the most stable polymorph in this dataset = 88.24 kJ/mol of atoms
Space-group type = No. 191
E_form (uncorrected) = 4.764 eV/f.u.
Calculated total energy = -3.05 eV/atom

```
Te5Rh
1.0
5.754 0.000 0.000
-2.877 4.983 0.000
0.000 0.000 6.626
Te Rh
5 1
direct
0.000 0.500 0.000
0.333 0.667 0.500
0.500 0.000 0.000
0.500 0.500 0.000
0.667 0.333 0.500
0.000 0.000 0.500
```

No. 6
# Sr2CuPtO2

A relaxed structure of Sr2CuPtO2 (PBE-GGA, Alexandria via LeMat-Bulk).

DOS at the Fermi energy = 0.750 states/eV/atom
Space-group type = No. 123
E_form (uncorrected) = -8.326 eV/f.u.
Calculated total energy = -5.29 eV/atom

```
Sr2CuPtO2
1.0
3.917 0.000 0.000
0.000 3.917 0.000
0.000 0.000 7.022
Sr Cu Pt O
2 1 1 2
direct
0.000 0.000 0.241
0.000 0.000 0.759
0.500 0.500 0.000
0.500 0.500 0.500
0.000 0.500 0.000
0.500 0.000 0.000
```

No. 7
# BaTaSi

A relaxed structure of BaTaSi (PBE-GGA, Alexandria via LeMat-Bulk).

DOS at the Fermi energy = 0.641 states/eV/atom
Energy above the most stable polymorph in this dataset = 114.69 kJ/mol of atoms
Space-group type = No. 216
E_form (uncorrected) = 2.788 eV/f.u.
Calculated total energy = -5.47 eV/atom

```
BaTaSi
1.0
0.000 3.412 3.412
3.412 0.000 3.412
3.412 3.412 0.000
Ba Ta Si
1 1 1
direct
0.000 0.000 0.000
0.500 0.500 0.500
0.750 0.750 0.750
```

No. 8
# Tb2Nd3In4

A relaxed structure of Tb2Nd3In4 (PBE-GGA, Alexandria via LeMat-Bulk).

DOS at the Fermi energy = 0.712 states/eV/atom
Energy above the most stable polymorph in this dataset = 16.21 kJ/mol of atoms
Space-group type = No. 64
E_form = -0.245 eV/atom
Calculated total energy = -4.08 eV/atom

```
Tb2Nd3In4
1.0
3.618 -7.771 0.000
3.618 7.771 0.000
0.000 0.000 10.017
Tb Nd In
4 6 8
direct
0.104 0.896 0.963
0.396 0.604 0.463
0.604 0.396 0.537
0.896 0.104 0.037
0.000 0.000 0.500
0.024 0.476 0.750
0.476 0.024 0.250
0.500 0.500 0.000
0.524 0.976 0.750
0.976 0.524 0.250
0.196 0.804 0.515
0.241 0.259 0.750
0.259 0.241 0.250
0.304 0.696 0.015
0.696 0.304 0.985
0.741 0.759 0.750
0.759 0.741 0.250
0.804 0.196 0.485
```

Q: calculated total energy of number 2 (Li4TaAu)?
A: -3.53 eV/atom

Q: Which value of calculated total energy does entry 2 give?
A: -3.53 eV/atom